Compound: SbPPb3
Source: the Alexandria database
Functional: GGA-PBEsol
Structure: relaxed

Unit cell a=6.7674 b=12.3362 c=13.8405 alpha=90.00 beta=90.00 gamma=90.00
Closest atoms and distances in Å follow each position.
Element x y z (fractional)
Pb 0.9262 0.9177 0.7500  4 P 2.84-3.01
Pb 0.1134 0.7776 0.2500  2 P 2.81
Pb 0.5345 0.5108 0.6219  4 Sb 3.16-3.23, 3 Pb 3.39-3.42
Pb 0.4655 0.4892 0.3781  4 Sb 3.16-3.23, 3 Pb 3.39-3.42
Pb 0.5738 0.9177 0.2500  4 P 2.84-3.01
Pb 0.6134 0.2224 0.2500  2 P 2.81
Pb 0.4655 0.4892 0.1219  4 Sb 3.16-3.23, 3 Pb 3.39-3.42
Pb 0.4262 0.0823 0.7500  4 P 2.84-3.01
Pb 0.5345 0.5108 0.8781  4 Sb 3.16-3.23, 3 Pb 3.39-3.42
Pb 0.0345 0.4892 0.6219  4 Sb 3.16-3.23, 3 Pb 3.39-3.42
Pb 0.9655 0.5108 0.1219  4 Sb 3.16-3.23, 3 Pb 3.39-3.42
Pb 0.7500 0.0707 0.5000  4 P 2.79-2.91
Pb 0.7500 0.0707 0.0000  4 P 2.79-2.91
Pb 0.8866 0.2224 0.7500  2 P 2.81
Pb 0.0345 0.4892 0.8781  4 Sb 3.16-3.23, 3 Pb 3.39-3.42
Pb 0.2500 0.9293 0.5000  4 P 2.79-2.91
Pb 0.7500 0.7480 0.5000  2 P 2.80
Pb 0.3866 0.7776 0.7500  2 P 2.81
Pb 0.2500 0.9293 0.0000  4 P 2.79-2.91
Pb 0.0738 0.0823 0.2500  4 P 2.84-3.01
Pb 0.2500 0.2520 0.0000  2 P 2.80
Pb 0.7500 0.7480 0.0000  2 P 2.80
Pb 0.2500 0.2520 0.5000  2 P 2.80
Pb 0.9655 0.5108 0.3781  4 Sb 3.16-3.23, 3 Pb 3.39-3.42
P 0.9004 0.9099 0.3788  6 Pb 2.79-3.01
P 0.4004 0.0901 0.3788  6 Pb 2.79-3.01
P 0.0996 0.0901 0.8788  6 Pb 2.79-3.01
P 0.4004 0.0901 0.1212  6 Pb 2.79-3.01
P 0.9004 0.9099 0.1212  6 Pb 2.79-3.01
P 0.5996 0.9099 0.8788  6 Pb 2.79-3.01
P 0.5996 0.9099 0.6212  6 Pb 2.79-3.01
P 0.0996 0.0901 0.6212  6 Pb 2.79-3.01
Sb 0.3069 0.3386 0.7500  6 Pb 3.16-3.26
Sb 0.7500 0.3298 0.5000  7 Pb 3.16-3.52
Sb 0.6931 0.6614 0.2500  6 Pb 3.16-3.26
Sb 0.7500 0.3298 0.0000  7 Pb 3.16-3.52
Sb 0.8069 0.6614 0.7500  6 Pb 3.16-3.26
Sb 0.2500 0.6702 0.5000  7 Pb 3.16-3.52
Sb 0.2500 0.6702 0.0000  7 Pb 3.16-3.52
Sb 0.1931 0.3386 0.2500  6 Pb 3.16-3.26

Electronic total energy = -4.35 eV per atom